Entry 1:
First-principles (PBE) data for a geometry-optimized Ni4PtBr2 structure, as listed in the Alexandria database.

Lattice parameters (Å, degrees): 7.1437 7.1437 7.1437 141.13 141.13 56.14
Fractional coordinates of all 7 atoms:
Ni 0.0000 0.5000 0.5000
Ni 0.1892 0.1892 0.0000
Ni 0.5000 0.0000 0.5000
Ni 0.8108 0.8108 0.0000
Pt 0.0000 0.0000 0.0000
Br 0.3687 0.3687 0.0000
Br 0.6313 0.6313 0.0000

Values from the calculation:
Crystal system: tetragonal
Uncorrected formation energy, eV/atom: 0.80



Entry 2:
First-principles (PBE) data for a geometry-optimized BeSnPdSe2 structure, as listed in the Alexandria database.

Lattice parameters (Å, degrees): 4.8183 4.8183 4.3300 90.00 90.00 90.00
Fractional coordinates of all 5 atoms:
Be 0.0000 0.0000 0.0000
Sn 0.5000 0.5000 0.5000
Pd 0.0000 0.0000 0.5000
Se 0.0000 0.5000 0.0000
Se 0.5000 0.0000 0.0000

Values from the calculation:
Crystal system: tetragonal
Uncorrected formation energy, eV/atom: 0.06



Entry 3:
First-principles (PBE) data for a geometry-optimized Nb2AlCl structure, as listed in the Alexandria database.

Lattice parameters (Å, degrees): 10.0721 10.0721 10.0721 157.39 157.39 32.20
Fractional coordinates of all 8 atoms:
Nb 0.1241 0.6250 0.9991
Nb 0.3750 0.3741 0.4991
Nb 0.6259 0.1250 0.0009
Nb 0.8750 0.8759 0.5009
Al 0.0000 0.0000 0.0000
Al 0.7500 0.2500 0.5000
Cl 0.2500 0.7500 0.5000
Cl 0.5000 0.5000 0.0000

Values from the calculation:
Crystal system: tetragonal
Uncorrected formation energy, eV/atom: 0.40



Entry 4:
First-principles (PBE) data for a geometry-optimized Na2CaPbO structure, as listed in the Alexandria database.

Lattice parameters (Å, degrees): 5.0316 5.0316 4.5146 90.00 90.00 90.00
Fractional coordinates of all 5 atoms:
Na 0.0000 0.5000 0.0000
Na 0.5000 0.0000 0.0000
Ca 0.0000 0.0000 0.5000
Pb 0.5000 0.5000 0.5000
O 0.0000 0.0000 0.0000

Values from the calculation:
Crystal system: tetragonal
Uncorrected formation energy, eV/atom: -0.98



Entry 5:
First-principles (PBE) data for a geometry-optimized Cs2BaCdI6 structure, as listed in the Alexandria database.

Lattice parameters (Å, degrees): 9.0284 9.0284 9.0284 60.00 60.00 60.00
Fractional coordinates of all 10 atoms:
Cs 0.2500 0.2500 0.2500
Cs 0.7500 0.7500 0.7500
Ba 0.0000 0.0000 0.0000
Cd 0.5000 0.5000 0.5000
I 0.2645 0.2645 0.7355
I 0.2645 0.7355 0.2645
I 0.2645 0.7355 0.7355
I 0.7355 0.2645 0.2645
I 0.7355 0.2645 0.7355
I 0.7355 0.7355 0.2645

Values from the calculation:
Crystal system: cubic
Uncorrected formation energy, eV/atom: -1.28



Entry 6:
First-principles (PBE) data for a geometry-optimized LiF4 structure, as listed in the Alexandria database.

Lattice parameters (Å, degrees): 3.2668 3.2668 7.0341 100.23 100.23 60.31
Fractional coordinates of all 5 atoms:
Li 0.0000 0.0000 0.0000
F 0.2627 0.2627 0.5327
F 0.2878 0.2878 0.8769
F 0.7122 0.7122 0.1231
F 0.7373 0.7373 0.4673

Values from the calculation:
Crystal system: monoclinic
Uncorrected formation energy, eV/atom: -0.95



Entry 7:
First-principles (PBE) data for a geometry-optimized ThSc2Al structure, as listed in the Alexandria database.

Lattice parameters (Å, degrees): 3.3468 3.3468 10.2381 100.30 100.30 61.12
Fractional coordinates of all 4 atoms:
Th 0.0000 0.0000 0.0000
Sc 0.2412 0.2412 0.7255
Sc 0.7588 0.7588 0.2745
Al 0.5000 0.5000 0.5000

Values from the calculation:
Crystal system: monoclinic
Energy of formation, meV per atom: -62



Entry 8:
First-principles (PBE) data for a geometry-optimized CsCeIn2Br8 structure, as listed in the Alexandria database.

Lattice parameters (Å, degrees): 7.2195 7.2224 10.1056 79.37 82.14 82.52
Fractional coordinates of all 12 atoms:
Cs 0.0000 0.0000 0.0000
Ce 0.0000 0.0000 0.5000
In 0.4690 0.4521 0.2313
In 0.5310 0.5479 0.7687
Br 0.1481 0.7337 0.7201
Br 0.2154 0.7978 0.3032
Br 0.2941 0.2300 0.4864
Br 0.3756 0.3001 0.0128
Br 0.6244 0.6999 0.9872
Br 0.7059 0.7700 0.5136
Br 0.7846 0.2022 0.6968
Br 0.8519 0.2663 0.2799

Values from the calculation:
Crystal system: triclinic
Uncorrected formation energy, eV/atom: -1.22



Entry 9:
First-principles (PBE) data for a geometry-optimized AcPrN structure, as listed in the Alexandria database.

Lattice parameters (Å, degrees): 4.6211 4.6211 4.6211 60.00 60.00 60.00
Fractional coordinates of all 3 atoms:
Ac 0.0000 0.0000 0.0000
Pr 0.5000 0.5000 0.5000
N 0.2500 0.2500 0.2500

Values from the calculation:
Crystal system: cubic
Uncorrected formation energy, eV/atom: -0.13



Entry 10:
First-principles (PBE) data for a geometry-optimized Ti2BiC structure, as listed in the Alexandria database.

Lattice parameters (Å, degrees): 7.1500 7.1500 7.1500 26.58 26.58 26.58
Fractional coordinates of all 4 atoms:
Ti 0.0000 0.0000 0.0000
Ti 0.2313 0.2313 0.2313
Bi 0.7832 0.7832 0.7832
C 0.6148 0.6148 0.6148

Values from the calculation:
Crystal system: trigonal
Energy of formation, meV per atom: -500



Entry 11:
First-principles (PBE) data for a geometry-optimized Ho3IrRu structure, as listed in the Alexandria database.

Lattice parameters (Å, degrees): 6.3563 6.4590 7.2745 67.94 68.32 66.08
Fractional coordinates of all 10 atoms:
Ho 0.0953 0.2299 0.2954
Ho 0.2226 0.0972 0.8051
Ho 0.3977 0.6011 0.2559
Ho 0.6023 0.3989 0.7441
Ho 0.7774 0.9028 0.1949
Ho 0.9047 0.7701 0.7046
Ir 0.3689 0.8360 0.5269
Ir 0.6311 0.1640 0.4731
Ru 0.1712 0.6297 0.9749
Ru 0.8288 0.3703 0.0251

Values from the calculation:
Crystal system: triclinic
Energy of formation, meV per atom: -461



Entry 12:
First-principles (PBE) data for a geometry-optimized SmDyGa2Pt2 structure, as listed in the Alexandria database.

Lattice parameters (Å, degrees): 4.4791 4.4791 7.0764 90.00 90.00 120.00
Fractional coordinates of all 6 atoms:
Sm 0.0000 0.0000 0.0000
Dy 0.0000 0.0000 0.5000
Ga 0.3333 0.6667 0.7371
Ga 0.6667 0.3333 0.2629
Pt 0.3333 0.6667 0.2638
Pt 0.6667 0.3333 0.7362

Values from the calculation:
Crystal system: trigonal
Energy of formation, meV per atom: -1056



Number 1: total moment 3.988 μB per cell. Number 2: total moment 0.000 μB per cell. Number 3: total moment 0.000 μB per cell. Number 4: total moment 0.000 μB per cell. Number 5: total moment 0.000 μB per cell. Number 6: total moment 1.275 μB per cell. Number 7: total moment 0.000 μB per cell. Number 8: total moment 0.587 μB per cell. Number 9: total moment 0.000 μB per cell. Number 10: total moment 0.000 μB per cell. Number 11: total moment 0.000 μB per cell. Number 12: total moment 0.000 μB per cell.